(1)
Here is MnReAg2 after structural relaxation from Alexandria. Energies are from PBE.

a b c (Å): 5.6006 5.6006 5.6006
angles (deg): 150.85 131.28 57.79
With the nearest neighbours (Å) after each atom.
Fractional positions:
Ag 0.9933 0.9933 0.0000  6 Ag 2.71-2.82, 2 Mn 2.77, 2 Re 2.89
Ag 0.5067 0.5067 0.0000  6 Ag 2.71-2.82, 2 Mn 2.77, 2 Re 2.89
Mn 0.7500 0.2500 0.5000  4 Re 2.71, 4 Ag 2.77, 2 Mn 2.82
Re 0.2500 0.7500 0.5000  4 Mn 2.71, 2 Re 2.82, 4 Ag 2.89

Values from the calculation:
N(E_F) = 3.8 states/eV/f.u.
energy of formation from the pure elements = 0.605 eV/atom



(2)
Here is Ba2YRh after structural relaxation from Alexandria. Energies are from PBE.

a b c (Å): 10.7977 10.7977 10.7977
angles (deg): 22.01 22.01 22.01
With the nearest neighbours (Å) after each atom.
Fractional positions:
Ba 0.9755 0.9755 0.9755  3 Rh 3.02
Ba 0.5245 0.5245 0.5245  3 Rh 3.02
Rh 0.2500 0.2500 0.2500  6 Ba 3.02
Y 0.7500 0.7500 0.7500  6 Y 4.12, 6 Ba 4.16

Values from the calculation:
N(E_F) = 4.7 states/eV/f.u.
energy of formation from the pure elements = 0.214 eV/atom



(3)
Here is CaHf2Ir2 after structural relaxation from Alexandria. Energies are from PBE.

a b c (Å): 4.4573 4.4573 6.4280
angles (deg): 69.71 69.71 90.00
With the nearest neighbours (Å) after each atom.
Fractional positions:
Ca 0.0000 0.0000 0.0000  8 Ir 3.41, 8 Hf 3.58
Ir 0.3830 0.3830 0.2340  1 Ir 2.62, 4 Hf 2.68
Ir 0.6170 0.6170 0.7660  1 Ir 2.62, 4 Hf 2.68
Hf 0.7500 0.2500 0.5000  4 Ir 2.68
Hf 0.2500 0.7500 0.5000  4 Ir 2.68

Values from the calculation:
N(E_F) = 2.4 states/eV/f.u.
energy of formation from the pure elements = -0.776 eV/atom